No. 1
DFT (PBE) results for a geometry-optimized LaGd2Si4Ni4 structure.

Summary:
Space group: No. 71
Final energy (eV per atom): -6.092
Magnetic moment (μB per atom): 0.00

```
11
Lattice="-0.750 -1.233 11.812 -0.778 4.478 10.998 -2.114 -1.672 -11.591" Properties=species:S:1:pos:R:3 pbc="T T T"
Gd -1.662 -0.963 3.550
Gd -1.980 2.536 7.670
La 0.000 0.000 0.000
Ni -0.380 0.807 5.674
Ni -1.148 2.438 17.137
Ni -2.042 -0.155 9.227
Ni -1.599 1.729 1.993
Si -0.682 1.448 10.177
Si -0.846 1.797 12.634
Si -1.890 -0.478 6.956
Si -1.751 2.052 4.264
```



No. 2
DFT (PBE) results for a geometry-optimized LaGdNp structure.

Summary:
Space group: No. 216
ΔH_f (0 K) (eV per atom): 1.05
Final energy (eV per atom): -6.398
Magnetic moment (μB per atom): 1.84

```
3
Lattice="0.000 3.646 3.646 3.646 0.000 3.646 3.646 3.646 0.000" Properties=species:S:1:pos:R:3 pbc="T T T"
Gd 1.823 1.823 1.823
La 0.000 0.000 0.000
Np 5.469 5.469 5.469
```



No. 3
DFT (PBE) results for a geometry-optimized La2GdO3 structure.

Summary:
Space group: No. 164
Final energy (eV per atom): -7.750
Magnetic moment (μB per atom): 0.00

```
6
Lattice="-1.430 3.210 -0.459 0.394 -2.177 -2.768 -8.013 -3.357 1.498" Properties=species:S:1:pos:R:3 pbc="T T T"
Gd -4.006 -1.678 0.749
La -1.567 -0.948 -1.746
La -7.482 -1.376 0.016
O 0.000 0.000 0.000
O -3.711 0.204 -0.689
O -5.338 -2.528 -1.041
```



No. 4
DFT (PBE) results for a geometry-optimized La2Gd2O5 structure.

Summary:
Space group: No. 123
Distance to the lowest polymorph of the same formula (meV/atom): 99
Final energy (eV per atom): -7.710
Magnetic moment (μB per atom): 0.16

```
9
Lattice="10.655 0.000 0.000 0.000 3.899 0.000 0.000 0.000 3.899" Properties=species:S:1:pos:R:3 pbc="T T T"
Gd 0.000 0.000 0.000
Gd 5.327 0.000 0.000
La 2.520 1.949 1.949
La 8.135 1.949 1.949
O 1.394 1.949 0.000
O 9.261 1.949 0.000
O 1.394 0.000 1.949
O 9.261 0.000 1.949
O 5.327 1.949 1.949
```



No. 5
DFT (PBE) results for a geometry-optimized La2Gd2O5 structure.

Summary:
Space group: No. 123
Distance to the lowest polymorph of the same formula (meV/atom): 0
Final energy (eV per atom): -7.809
Magnetic moment (μB per atom): 0.01

```
9
Lattice="9.452 0.000 0.000 0.000 4.033 0.000 0.000 0.000 4.033" Properties=species:S:1:pos:R:3 pbc="T T T"
Gd 2.387 2.017 2.017
Gd 7.065 2.017 2.017
La 0.000 0.000 0.000
La 4.726 0.000 0.000
O 1.486 2.017 0.000
O 7.966 2.017 0.000
O 1.486 0.000 2.017
O 7.966 0.000 2.017
O 4.726 2.017 2.017
```



No. 6
DFT (PBE) results for a geometry-optimized LaGd2O3 structure.

Summary:
Space group: No. 164
Final energy (eV per atom): -7.686
Magnetic moment (μB per atom): 0.00

```
6
Lattice="-1.802 -1.738 -2.431 3.370 -0.732 0.530 -2.211 -5.923 5.872" Properties=species:S:1:pos:R:3 pbc="T T T"
Gd -0.821 -3.394 0.530
Gd 0.179 -4.999 3.440
La 0.000 0.000 0.000
O 1.213 -2.229 0.694
O -1.105 -2.962 2.936
O -1.855 -6.164 3.276
```



> What is the final energy in the second record?

-6.398 eV per atom



> What is the final energy in the fifth record?

-7.809 eV per atom